## Zn2Hg8Pb3 (PBE)

Data for Zn2Hg8Pb3 after structural relaxation.

## Properties
energy of formation from the pure elements: 0.7 eV per formula unit
symmetry: No. 2

a = 3.460 Å, b = 8.014 Å, c = 12.312 Å
α = 86.59°, β = 89.98°, γ = 89.98°
Fractional coordinates of all 13 atoms:
Zn: 0.002 0.100 0.077
Zn: 0.998 0.900 0.923
Hg: 0.000 0.300 0.666
Hg: 0.000 0.408 0.164
Hg: 0.000 0.592 0.836
Hg: 0.000 0.700 0.334
Hg: 0.499 0.717 0.079
Hg: 0.499 0.974 0.745
Hg: 0.501 0.026 0.255
Hg: 0.501 0.283 0.921
Pb: 0.000 0.000 0.500
Pb: 0.500 0.354 0.404
Pb: 0.500 0.646 0.596



## NdTm5 (PBE)

Data for NdTm5 after structural relaxation.

## Properties
energy of formation from the pure elements: 0.8 eV per formula unit
symmetry: No. 38
energy relative to the lowest polymorph listed for this composition: 103 meV per atom

a = 9.509 Å, b = 6.051 Å, c = 6.051 Å
α = 33.14°, β = 90.00°, γ = 90.00°
Fractional coordinates of all 6 atoms:
Nd: 0.000 0.000 0.000
Tm: 0.182 0.275 0.275
Tm: 0.326 0.541 0.541
Tm: 0.500 0.819 0.819
Tm: 0.674 0.541 0.541
Tm: 0.818 0.275 0.275



## NpBiH2O6 (PBE)

Data for NpBiH2O6 after structural relaxation.

## Properties
symmetry: No. 2

a = 5.248 Å, b = 5.464 Å, c = 6.006 Å
α = 63.36°, β = 67.79°, γ = 64.53°
Fractional coordinates of all 10 atoms:
Np: 0.000 0.000 0.000
Bi: 0.500 0.500 0.500
H: 0.413 0.227 0.237
H: 0.587 0.773 0.763
O: 0.094 0.352 0.779
O: 0.228 0.926 0.224
O: 0.407 0.761 0.760
O: 0.593 0.239 0.240
O: 0.772 0.074 0.776
O: 0.906 0.648 0.221



Calculated VASP energy (eV per cell), listed in the same order as above: -15.4, -26.4, -70.5